First-principles (PBE) data for LiMg2 after structural relaxation, as listed in the Alexandria database.

Lattice parameters (Å, degrees): 3.5488 14.6086 4.8585 90.00 90.00 90.00
Closest atoms and distances in Å follow each position.
Positions (direct):
Li: 0.0000 0.0837 0.2500  8 Mg 2.95-3.01
Li: 0.0000 0.9163 0.7500  8 Mg 2.95-3.01
Li: 0.5000 0.4163 0.7500  8 Mg 2.95-3.01
Li: 0.5000 0.5837 0.2500  8 Mg 2.95-3.01
Mg: 0.0000 0.2553 0.7500  2 Li 2.95, 6 Mg 3.01-3.12
Mg: 0.0000 0.4206 0.2500  6 Li 2.97-3.01, 2 Mg 3.12
Mg: 0.0000 0.5794 0.7500  6 Li 2.97-3.01, 2 Mg 3.12
Mg: 0.0000 0.7447 0.2500  2 Li 2.95, 6 Mg 3.01-3.12
Mg: 0.5000 0.0794 0.7500  6 Li 2.97-3.01, 2 Mg 3.12
Mg: 0.5000 0.2447 0.2500  2 Li 2.95, 6 Mg 3.01-3.12
Mg: 0.5000 0.7553 0.7500  2 Li 2.95, 6 Mg 3.01-3.12
Mg: 0.5000 0.9206 0.2500  6 Li 2.97-3.01, 2 Mg 3.12

Properties
**ΔH_f (0 K)**: -0.043 eV/atom
**Magnetic moment**: 0.00 μB/f.u.
**Calculated density**: 1465 kg/m3
**Uncorrected energy**: -1.744 eV/atom
**Space group**: No. 63



First-principles (PBE) data for LiMg2 after structural relaxation, as listed in the Alexandria database.

Lattice parameters (Å, degrees): 4.9200 4.9200 6.0439 90.00 90.00 120.00
Closest atoms and distances in Å follow each position.
Positions (direct):
Li: 0.3333 0.6667 0.2500  5 Mg 2.84-3.02
Li: 0.6667 0.3333 0.7500  5 Mg 2.84-3.02
Mg: 0.0000 0.0000 0.0000  8 Mg 3.02-3.22, 6 Li 3.22
Mg: 0.0000 0.0000 0.5000  8 Mg 3.02-3.22, 6 Li 3.22
Mg: 0.3333 0.6667 0.7500  5 Li 2.84-3.02
Mg: 0.6667 0.3333 0.2500  5 Li 2.84-3.02

Properties
**ΔH_f (0 K)**: -0.030 eV/atom
**Magnetic moment**: 0.00 μB/f.u.
**Calculated density**: 1456 kg/m3
**Uncorrected energy**: -1.731 eV/atom
**Space group**: No. 194



First-principles (PBE) data for LiMg2 after structural relaxation, as listed in the Alexandria database.

Lattice parameters (Å, degrees): 3.1032 3.1032 27.9536 90.00 90.00 90.00
Closest atoms and distances in Å follow each position.
Positions (direct):
Li: 0.0000 0.2500 0.3750  8 Mg 3.06, 4 Li 3.10
Li: 0.0000 0.7500 0.6250  8 Mg 3.06, 4 Li 3.10
Li: 0.5000 0.2500 0.1250  8 Mg 3.06, 4 Li 3.10
Li: 0.5000 0.7500 0.8750  8 Mg 3.06, 4 Li 3.10
Mg: 0.0000 0.2500 0.7984  4 Li 3.06, 6 Mg 3.10-3.12
Mg: 0.0000 0.2500 0.9516  4 Li 3.06, 6 Mg 3.10-3.12
Mg: 0.0000 0.7500 0.0484  4 Li 3.06, 6 Mg 3.10-3.12
Mg: 0.0000 0.7500 0.2016  4 Li 3.06, 6 Mg 3.10-3.12
Mg: 0.5000 0.2500 0.5484  4 Li 3.06, 6 Mg 3.10-3.12
Mg: 0.5000 0.2500 0.7016  4 Li 3.06, 6 Mg 3.10-3.12
Mg: 0.5000 0.7500 0.2984  4 Li 3.06, 6 Mg 3.10-3.12
Mg: 0.5000 0.7500 0.4516  4 Li 3.06, 6 Mg 3.10-3.12

Properties
**ΔH_f (0 K)**: 0.050 eV/atom
**Magnetic moment**: 0.00 μB/f.u.
**Calculated density**: 1371 kg/m3
**Uncorrected energy**: -1.651 eV/atom
**Space group**: No. 141



First-principles (PBE) data for Li6Mg after structural relaxation, as listed in the Alexandria database.

Lattice parameters (Å, degrees): 4.2682 4.2682 8.1920 90.00 90.00 90.00
Closest atoms and distances in Å follow each position.
Positions (direct):
Li: 0.0000 0.0000 0.0000  8 Li 2.85
Li: 0.0000 0.5000 0.2314  8 Li 2.85-3.07, 2 Mg 3.07
Li: 0.0000 0.5000 0.7686  8 Li 2.85-3.07, 2 Mg 3.07
Li: 0.5000 0.0000 0.2314  8 Li 2.85-3.07, 2 Mg 3.07
Li: 0.5000 0.0000 0.7686  8 Li 2.85-3.07, 2 Mg 3.07
Li: 0.5000 0.5000 0.5000  4 Mg 3.02, 8 Li 3.07
Mg: 0.0000 0.0000 0.5000  12 Li 3.02-3.07

Properties
**Offset from the most stable computed form**: 0.51 eV per formula unit
**ΔH_f (0 K)**: 0.065 eV/atom
**Magnetic moment**: 0.00 μB/f.u.
**Calculated density**: 734 kg/m3
**Uncorrected energy**: -1.803 eV/atom
**Space group**: No. 123



First-principles (PBE) data for Li4Mg after structural relaxation, as listed in the Alexandria database.

Lattice parameters (Å, degrees): 6.5399 6.5399 6.5399 90.00 90.00 90.00
Closest atoms and distances in Å follow each position.
Positions (direct):
Li: 0.2500 0.2500 0.2500  2 Mg 2.83
Li: 0.2500 0.2500 0.7500  2 Mg 2.83
Li: 0.2500 0.7500 0.2500  2 Mg 2.83
Li: 0.2500 0.7500 0.7500  2 Mg 2.83
Li: 0.7500 0.2500 0.2500  2 Mg 2.83
Li: 0.7500 0.2500 0.7500  2 Mg 2.83
Li: 0.7500 0.7500 0.2500  2 Mg 2.83
Li: 0.7500 0.7500 0.7500  2 Mg 2.83
Mg: 0.0000 0.0000 0.0000  8 Li 2.83
Mg: 0.5000 0.5000 0.5000  8 Li 2.83

Properties
**Offset from the most stable computed form**: 1.61 eV per formula unit
**ΔH_f (0 K)**: 0.299 eV/atom
**Magnetic moment**: 0.00 μB/f.u.
**Calculated density**: 618 kg/m3
**Uncorrected energy**: -1.551 eV/atom
**Space group**: No. 229



First-principles (PBE) data for Li17Mg2 after structural relaxation, as listed in the Alexandria database.

Lattice parameters (Å, degrees): 7.4900 7.4900 7.4900 74.13 74.13 74.13
Closest atoms and distances in Å follow each position.
Positions (direct):
Li: 0.0000 0.0000 0.5000  10 Li 2.81-3.02
Li: 0.0000 0.2948 0.7052  4 Li 2.66-2.69
Li: 0.0000 0.5000 0.0000  10 Li 2.81-3.02
Li: 0.0000 0.7052 0.2948  4 Li 2.66-2.69
Li: 0.1017 0.1017 0.1017  9 Li 2.81-3.13
Li: 0.1744 0.5893 0.5893  6 Li 2.68-2.96
Li: 0.2948 0.0000 0.7052  4 Li 2.66-2.69
Li: 0.2948 0.7052 0.0000  4 Li 2.66-2.69
Li: 0.4107 0.4107 0.8256  6 Li 2.68-2.96
Li: 0.4107 0.8256 0.4107  6 Li 2.68-2.96
Li: 0.5000 0.0000 0.0000  10 Li 2.81-3.02
Li: 0.5893 0.1744 0.5893  6 Li 2.68-2.96
Li: 0.5893 0.5893 0.1744  6 Li 2.68-2.96
Li: 0.7052 0.0000 0.2948  4 Li 2.66-2.69
Li: 0.7052 0.2948 0.0000  4 Li 2.66-2.69
Li: 0.8256 0.4107 0.4107  6 Li 2.68-2.96
Li: 0.8983 0.8983 0.8983  9 Li 2.81-3.13
Mg: 0.2999 0.2999 0.2999  16 Li 3.20-3.38
Mg: 0.7001 0.7001 0.7001  16 Li 3.20-3.38

Properties
**ΔH_f (0 K)**: 0.050 eV/atom
**Magnetic moment**: 0.00 μB/f.u.
**Calculated density**: 729 kg/m3
**Uncorrected energy**: -1.830 eV/atom
**Space group**: No. 166



First-principles (PBE) data for Li7Mg3 after structural relaxation, as listed in the Alexandria database.

Lattice parameters (Å, degrees): 9.6187 9.6187 5.2363 90.00 90.00 120.00
Closest atoms and distances in Å follow each position.
Positions (direct):
Li: 0.0537 0.5268 0.0000  3 Li 2.53-2.77
Li: 0.1196 0.2391 0.8833  4 Mg 3.05-3.16, 6 Li 3.19-3.29
Li: 0.1196 0.8804 0.8833  4 Mg 3.05-3.16, 6 Li 3.19-3.29
Li: 0.2391 0.1196 0.3833  4 Mg 3.05-3.16, 6 Li 3.19-3.29
Li: 0.3333 0.6667 0.8139  3 Li 2.53
Li: 0.4732 0.5268 0.0000  3 Li 2.53-2.77
Li: 0.4732 0.9463 0.0000  3 Li 2.53-2.77
Li: 0.5268 0.0537 0.5000  3 Li 2.53-2.77
Li: 0.5268 0.4732 0.5000  3 Li 2.53-2.77
Li: 0.6667 0.3333 0.3139  3 Li 2.53
Li: 0.7609 0.8804 0.8833  4 Mg 3.05-3.16, 6 Li 3.19-3.29
Li: 0.8804 0.1196 0.3833  4 Mg 3.05-3.16, 6 Li 3.19-3.29
Li: 0.8804 0.7609 0.3833  4 Mg 3.05-3.16, 6 Li 3.19-3.29
Li: 0.9463 0.4732 0.5000  3 Li 2.53-2.77
Mg: 0.2184 0.4368 0.3919  9 Li 2.86-3.16
Mg: 0.2184 0.7816 0.3919  9 Li 2.86-3.16
Mg: 0.4368 0.2184 0.8919  9 Li 2.86-3.16
Mg: 0.5632 0.7816 0.3919  9 Li 2.86-3.16
Mg: 0.7816 0.2184 0.8919  9 Li 2.86-3.16
Mg: 0.7816 0.5632 0.8919  9 Li 2.86-3.16

Properties
**Offset from the most stable computed form**: 0.67 eV per formula unit
**ΔH_f (0 K)**: 0.036 eV/atom
**Magnetic moment**: 0.00 μB/f.u.
**Calculated density**: 962 kg/m3
**Uncorrected energy**: -1.782 eV/atom
**Space group**: No. 186



First-principles (PBE) data for Li5Mg4 after structural relaxation, as listed in the Alexandria database.

Lattice parameters (Å, degrees): 7.6799 7.6799 7.6799 92.68 92.68 155.01
Closest atoms and distances in Å follow each position.
Positions (direct):
Li: 0.0000 0.0000 0.0000  10 Li 3.03-3.32
Li: 0.3309 0.3309 0.6618  4 Li 2.94-3.03, 4 Mg 2.95
Li: 0.3309 0.6691 0.0000  4 Li 2.94-3.03, 4 Mg 2.95
Li: 0.6691 0.3309 0.0000  4 Li 2.94-3.03, 4 Mg 2.95
Li: 0.6691 0.6691 0.3382  4 Li 2.94-3.03, 4 Mg 2.95
Mg: 0.0000 0.3244 0.3244  4 Li 2.95, 4 Mg 3.11
Mg: 0.0000 0.6756 0.6756  4 Li 2.95, 4 Mg 3.11
Mg: 0.3244 0.0000 0.3244  4 Li 2.95, 4 Mg 3.11
Mg: 0.6756 0.0000 0.6756  4 Li 2.95, 4 Mg 3.11

Properties
**Offset from the most stable computed form**: 0.00 eV per formula unit
**ΔH_f (0 K)**: -0.048 eV/atom
**Magnetic moment**: 0.00 μB/f.u.
**Calculated density**: 1172 kg/m3
**Uncorrected energy**: -1.820 eV/atom
**Space group**: No. 139



First-principles (PBE) data for Li8Mg3 after structural relaxation, as listed in the Alexandria database.

Lattice parameters (Å, degrees): 6.2639 6.2639 6.2639 88.62 88.62 88.62
Closest atoms and distances in Å follow each position.
Positions (direct):
Li: 0.1147 0.1147 0.1147  1 Li 2.55, 3 Mg 2.59
Li: 0.1952 0.5914 0.3874  2 Mg 2.82-2.90, 5 Li 2.97-3.03
Li: 0.3874 0.1952 0.5914  2 Mg 2.82-2.90, 5 Li 2.97-3.03
Li: 0.4086 0.6126 0.8048  2 Mg 2.82-2.90, 5 Li 2.97-3.03
Li: 0.5914 0.3874 0.1952  2 Mg 2.82-2.90, 5 Li 2.97-3.03
Li: 0.6126 0.8048 0.4086  2 Mg 2.82-2.90, 5 Li 2.97-3.03
Li: 0.8048 0.4086 0.6126  2 Mg 2.82-2.90, 5 Li 2.97-3.03
Li: 0.8853 0.8853 0.8853  1 Li 2.55, 3 Mg 2.59
Mg: 0.0000 0.0000 0.5000  4 Li 2.59-2.82
Mg: 0.0000 0.5000 0.0000  4 Li 2.59-2.82
Mg: 0.5000 0.0000 0.0000  4 Li 2.59-2.82

Properties
**Offset from the most stable computed form**: 2.36 eV per formula unit
**ΔH_f (0 K)**: 0.188 eV/atom
**Magnetic moment**: 0.00 μB/f.u.
**Calculated density**: 869 kg/m3
**Uncorrected energy**: -1.639 eV/atom
**Space group**: No. 148



First-principles (PBE) data for Li2Mg7 after structural relaxation, as listed in the Alexandria database.

Lattice parameters (Å, degrees): 5.4868 5.4868 7.6496 90.00 90.00 120.00
Closest atoms and distances in Å follow each position.
Positions (direct):
Li: 0.3333 0.6667 0.0000  9 Mg 3.10-3.17, 3 Li 3.17
Li: 0.6667 0.3333 0.0000  9 Mg 3.10-3.17, 3 Li 3.17
Mg: 0.0000 0.0000 0.0000  6 Mg 3.11, 6 Li 3.17
Mg: 0.0000 0.3348 0.6725  2 Li 3.10, 10 Mg 3.11-3.22
Mg: 0.0000 0.6652 0.3275  2 Li 3.10, 10 Mg 3.11-3.22
Mg: 0.3348 0.0000 0.6725  2 Li 3.10, 10 Mg 3.11-3.22
Mg: 0.3348 0.3348 0.3275  2 Li 3.10, 10 Mg 3.11-3.22
Mg: 0.6652 0.0000 0.3275  2 Li 3.10, 10 Mg 3.11-3.22
Mg: 0.6652 0.6652 0.6725  2 Li 3.10, 10 Mg 3.11-3.22

Properties
**ΔH_f (0 K)**: -0.007 eV/atom
**Magnetic moment**: 0.00 μB/f.u.
**Calculated density**: 1532 kg/m3
**Uncorrected energy**: -1.672 eV/atom
**Space group**: No. 162



First-principles (PBE) data for Li3Mg5 after structural relaxation, as listed in the Alexandria database.

Lattice parameters (Å, degrees): 6.3976 6.3976 8.2966 90.00 90.00 90.00
Closest atoms and distances in Å follow each position.
Positions (direct):
Li: 0.0000 0.0000 0.0000  8 Mg 3.07, 4 Li 3.20
Li: 0.0000 0.5000 0.0000  10 Mg 3.07-3.20, 2 Li 3.20
Li: 0.0000 0.5000 0.5000  10 Mg 3.07-3.20, 2 Li 3.20
Li: 0.5000 0.0000 0.0000  10 Mg 3.07-3.20, 2 Li 3.20
Li: 0.5000 0.0000 0.5000  10 Mg 3.07-3.20, 2 Li 3.20
Li: 0.5000 0.5000 0.5000  8 Mg 3.07, 4 Li 3.20
Mg: 0.0000 0.0000 0.5000  8 Mg 3.07, 4 Li 3.20
Mg: 0.2500 0.2500 0.2500  6 Li 3.07, 6 Mg 3.07-3.20
Mg: 0.2500 0.2500 0.7500  6 Li 3.07, 6 Mg 3.07-3.20
Mg: 0.2500 0.7500 0.2500  6 Li 3.07, 6 Mg 3.07-3.20
Mg: 0.2500 0.7500 0.7500  6 Li 3.07, 6 Mg 3.07-3.20
Mg: 0.5000 0.5000 0.0000  8 Mg 3.07, 4 Li 3.20
Mg: 0.7500 0.2500 0.2500  6 Li 3.07, 6 Mg 3.07-3.20
Mg: 0.7500 0.2500 0.7500  6 Li 3.07, 6 Mg 3.07-3.20
Mg: 0.7500 0.7500 0.2500  6 Mg 3.07-3.20, 6 Li 3.07
Mg: 0.7500 0.7500 0.7500  6 Li 3.07, 6 Mg 3.07-3.20

Properties
**Offset from the most stable computed form**: 0.10 eV per formula unit
**ΔH_f (0 K)**: -0.034 eV/atom
**Magnetic moment**: 0.00 μB/f.u.
**Calculated density**: 1392 kg/m3
**Uncorrected energy**: -1.748 eV/atom
**Space group**: No. 139